i:
Compound: CdCoSCl2
Source: Alexandria
Functional: PBE-GGA
Structure: optimized geometry

Output
V	98	Å³/f.u.
magnetic moment	0.259	μB/atom

a = 4.644 Å, b = 4.644 Å, c = 4.561 Å
α = 90.00°, β = 90.00°, γ = 90.00°
Space group P4/mmm (No. 123)
Unique sites:
Cd  0.000  0.000  0.000
Co  0.500  0.500  0.500
S  0.500  0.500  0.000
Cl  0.000  0.500  0.500

***

ii:
Compound: CdCoSCl2
Source: Alexandria
Functional: PBE-GGA
Structure: optimized geometry

Output
V	131	Å³/f.u.
magnetic moment	0.562	μB/atom

a = 5.023 Å, b = 5.023 Å, c = 5.199 Å
α = 90.00°, β = 90.00°, γ = 90.00°
Space group P4/mmm (No. 123)
Unique sites:
Cd  0.000  0.000  0.000
Co  0.500  0.500  0.500
S  0.000  0.000  0.500
Cl  0.000  0.500  0.000

***

Which of them is the most stable? Correct choice: i.

***

i:
Compound: CrCdCl2
Source: Alexandria
Functional: PBE-GGA
Structure: optimized geometry

Output
V	115	Å³/f.u.
magnetic moment	1.008	μB/atom

a = 3.348 Å, b = 6.442 Å, c = 10.623 Å
α = 90.00°, β = 90.00°, γ = 90.00°
Space group Immm (No. 71)
Unique sites:
Cr  0.000  0.000  0.000
Cd  0.000  0.000  0.500
Cl  0.000  0.500  0.344

***

ii:
Compound: CrCdCl2
Source: Alexandria
Functional: PBE-GGA
Structure: optimized geometry

Output
V	91	Å³/f.u.
magnetic moment	1.044	μB/atom

a = 3.298 Å, b = 3.298 Å, c = 8.345 Å
α = 90.00°, β = 90.00°, γ = 90.00°
Space group P4mm (No. 99)
Unique sites:
Cr  0.000  0.000  0.000
Cd  0.500  0.500  0.255
Cl  0.000  0.000  0.444
Cl  0.500  0.500  0.845

***

iii:
Compound: CrCdCl2
Source: Alexandria
Functional: PBE-GGA
Structure: optimized geometry

Output
V	85	Å³/f.u.
magnetic moment	1.061	μB/atom

a = 6.991 Å, b = 6.991 Å, c = 6.991 Å
α = 90.00°, β = 90.00°, γ = 90.00°
Space group Fm-3m (No. 225)
Unique sites:
Cr  0.000  0.000  0.000
Cd  0.000  0.000  0.500
Cl  0.250  0.250  0.250

***

iv:
Compound: CrCdCl2
Source: Alexandria
Functional: PBE-GGA
Structure: optimized geometry

Output
V	104	Å³/f.u.
magnetic moment	0.996	μB/atom

a = 3.520 Å, b = 6.545 Å, c = 9.058 Å
α = 90.00°, β = 90.00°, γ = 90.00°
Space group Cmm2 (No. 35)
Unique sites:
Cr  0.000  0.000  0.000
Cd  0.000  0.500  0.249
Cl  0.000  0.000  0.451
Cl  0.000  0.500  0.832

***

Which of them is the most stable? Correct choice: i.

***

i:
Compound: CrCdCl2
Source: Alexandria
Functional: PBE-GGA
Structure: optimized geometry

Output
V	95	Å³/f.u.
magnetic moment	1.191	μB/atom

a = 3.907 Å, b = 3.907 Å, c = 12.436 Å
α = 90.00°, β = 90.00°, γ = 90.00°
Space group I-4m2 (No. 119)
Unique sites:
Cr  0.000  0.000  0.000
Cd  0.000  0.500  0.750
Cl  0.000  0.000  0.500
Cl  0.000  0.500  0.250

***

ii:
Compound: CrCdCl2
Source: Alexandria
Functional: PBE-GGA
Structure: optimized geometry

Output
V	103	Å³/f.u.
magnetic moment	1.108	μB/atom

a = 3.5986 Å, b = 3.5986 Å, c = 27.6501 Å
α = 90.00°, β = 90.00°, γ = 120.00°
Space group R-3m (No. 166, hexagonal axes)
Unique sites:
Cr  0.0000  0.0000  0.0000
Cd  0.0000  0.0000  0.5000
Cl  0.0000  0.0000  0.0817

***

iii:
Compound: CrCdCl2
Source: Alexandria
Functional: PBE-GGA
Structure: optimized geometry

Output
V	139	Å³/f.u.
magnetic moment	1.001	μB/atom

a = 7.629 Å, b = 7.629 Å, c = 9.563 Å
α = 90.00°, β = 90.00°, γ = 90.00°
Space group I-42d (No. 122)
Unique sites:
Cr  0.000  0.000  0.000
Cd  0.000  0.000  0.500
Cl  0.086  0.250  0.125

***

iv:
Compound: CrCdCl2
Source: Alexandria
Functional: PBE-GGA
Structure: optimized geometry

Output
V	95	Å³/f.u.
magnetic moment	1.060	μB/atom

a = 3.213 Å, b = 3.213 Å, c = 9.241 Å
α = 90.00°, β = 90.00°, γ = 90.00°
Space group P4/mmm (No. 123)
Unique sites:
Cr  0.000  0.000  0.000
Cd  0.000  0.000  0.500
Cl  0.500  0.500  0.165

***

Which of them is the most stable? Correct choice: iii.

***

i:
Compound: CrCdCl2
Source: Alexandria
Functional: PBE-GGA
Structure: optimized geometry

Output
V	94	Å³/f.u.
magnetic moment	1.167	μB/atom

a = 3.740 Å, b = 4.048 Å, c = 6.217 Å
α = 90.00°, β = 90.00°, γ = 90.00°
Space group Pmmm (No. 47)
Unique sites:
Cr  0.000  0.000  0.000
Cd  0.500  0.000  0.500
Cl  0.000  0.500  0.500
Cl  0.500  0.500  0.000

***

ii:
Compound: CrCdCl2
Source: Alexandria
Functional: PBE-GGA
Structure: optimized geometry

Output
V	121	Å³/f.u.
magnetic moment	1.016	μB/atom

a = 3.409 Å, b = 6.821 Å, c = 10.373 Å
α = 90.00°, β = 90.00°, γ = 90.00°
Space group Cmmm (No. 65)
Unique sites:
Cr  0.000  0.000  0.000
Cd  0.000  0.000  0.500
Cl  0.000  0.500  0.157

***

iii:
Compound: CrCdCl2
Source: Alexandria
Functional: PBE-GGA
Structure: optimized geometry

Output
V	86	Å³/f.u.
magnetic moment	1.106	μB/atom

a = 7.013 Å, b = 7.013 Å, c = 7.013 Å
α = 90.00°, β = 90.00°, γ = 90.00°
Space group F-43m (No. 216)
Unique sites:
Cr  0.000  0.000  0.000
Cd  0.250  0.250  0.250
Cl  0.000  0.000  0.500
Cl  0.250  0.250  0.750

***

iv:
Compound: CrCdCl2
Source: Alexandria
Functional: PBE-GGA
Structure: optimized geometry

Output
V	106	Å³/f.u.
magnetic moment	1.029	μB/atom

a = 3.5554 Å, b = 3.5554 Å, c = 29.0798 Å
α = 90.00°, β = 90.00°, γ = 120.00°
Space group R-3m (No. 166, hexagonal axes)
Unique sites:
Cr  0.0000  0.0000  0.0000
Cd  0.0000  0.0000  0.5000
Cl  0.0000  0.0000  0.2838

***

Which of them is the most stable? Correct choice: iv.

***

i:
Compound: CrCdCl2
Source: Alexandria
Functional: PBE-GGA
Structure: optimized geometry

Output
V	101	Å³/f.u.
magnetic moment	1.185	μB/atom

a = 6.949 Å, b = 7.810 Å, c = 4.476 Å
α = 90.00°, β = 124.02°, γ = 90.00°
Space group C2/m (No. 12)
Unique sites:
Cr  0.000  0.000  0.000
Cd  0.000  0.500  0.000
Cl  0.250  0.250  0.500

***

ii:
Compound: CrCdCl2
Source: Alexandria
Functional: PBE-GGA
Structure: optimized geometry

Output
V	109	Å³/f.u.
magnetic moment	0.996	μB/atom

a = 3.382 Å, b = 6.966 Å, c = 9.253 Å
α = 90.00°, β = 90.00°, γ = 90.00°
Space group Imm2 (No. 44)
Unique sites:
Cr  0.000  0.000  0.000
Cd  0.000  0.500  0.251
Cl  0.000  0.000  0.537
Cl  0.000  0.500  0.672

***

Which of them is the most stable? Correct choice: ii.

***

i:
Compound: CrCdCl4
Source: Alexandria
Functional: PBE-GGA
Structure: optimized geometry

Output
V	160	Å³/f.u.
magnetic moment	0.667	μB/atom

a = 6.362 Å, b = 3.884 Å, c = 6.474 Å
α = 90.00°, β = 92.46°, γ = 90.00°
Space group P2/m (No. 10)
Unique sites:
Cr  0.000  0.000  0.000
Cd  0.000  0.500  0.500
Cl  0.217  0.500  0.167
Cl  0.219  0.000  0.703

***

ii:
Compound: CrCdCl4
Source: Alexandria
Functional: PBE-GGA
Structure: optimized geometry

Output
V	147	Å³/f.u.
magnetic moment	0.403	μB/atom

a = 8.386 Å, b = 8.386 Å, c = 8.386 Å
α = 90.00°, β = 90.00°, γ = 90.00°
Space group F-43m (No. 216)
Unique sites:
Cr  0.000  0.000  0.000
Cd  0.250  0.250  0.750
Cl  0.125  0.125  0.375

***

Which of them is the most stable? Correct choice: i.

***

i:
Compound: CrCdCl3
Source: Alexandria
Functional: PBE-GGA
Structure: optimized geometry

Output
V	117	Å³/f.u.
magnetic moment	0.653	μB/atom

a = 4.893 Å, b = 4.893 Å, c = 4.893 Å
α = 90.00°, β = 90.00°, γ = 90.00°
Space group Pm-3m (No. 221)
Unique sites:
Cr  0.000  0.000  0.000
Cd  0.500  0.500  0.500
Cl  0.000  0.000  0.500

***

ii:
Compound: CrCdCl3
Source: Alexandria
Functional: PBE-GGA
Structure: optimized geometry

Output
V	138	Å³/f.u.
magnetic moment	1.000	μB/atom

a = 5.169 Å, b = 5.169 Å, c = 5.169 Å
α = 90.00°, β = 90.00°, γ = 90.00°
Space group Pm-3m (No. 221)
Unique sites:
Cr  0.000  0.000  0.000
Cd  0.500  0.500  0.500
Cl  0.000  0.500  0.500

***

Which of them is the most stable? Correct choice: i.

***

i:
Compound: CrCdSCl2
Source: Alexandria
Functional: PBE-GGA
Structure: optimized geometry

Output
V	133	Å³/f.u.
magnetic moment	0.816	μB/atom

a = 5.062 Å, b = 5.062 Å, c = 5.174 Å
α = 90.00°, β = 90.00°, γ = 90.00°
Space group P4/mmm (No. 123)
Unique sites:
Cr  0.000  0.000  0.000
Cd  0.500  0.500  0.500
S  0.500  0.500  0.000
Cl  0.000  0.500  0.500

***

ii:
Compound: CrCdSCl2
Source: Alexandria
Functional: PBE-GGA
Structure: optimized geometry

Output
V	109	Å³/f.u.
magnetic moment	0.683	μB/atom

a = 4.687 Å, b = 4.687 Å, c = 4.943 Å
α = 90.00°, β = 90.00°, γ = 90.00°
Space group P4/mmm (No. 123)
Unique sites:
Cr  0.000  0.000  0.000
Cd  0.500  0.500  0.500
S  0.000  0.000  0.500
Cl  0.000  0.500  0.000

***

Which of them is the most stable? Correct choice: ii.

***

i:
Compound: CsCd2Cl5
Source: Alexandria
Functional: PBE-GGA
Structure: optimized geometry

Output
V	239	Å³/f.u.
magnetic moment	0.000	μB/atom

a = 5.741 Å, b = 12.414 Å, c = 13.409 Å
α = 90.00°, β = 90.00°, γ = 90.00°
Space group Cmcm (No. 63)
Unique sites:
Cs  0.000  0.007  0.250
Cd  0.000  0.352  0.057
Cl  0.000  0.165  0.528
Cl  0.000  0.291  0.250
Cl  0.000  0.451  0.618

***

ii:
Compound: CsCd2Cl5
Source: Alexandria
Functional: PBE-GGA
Structure: optimized geometry

Output
V	245	Å³/f.u.
magnetic moment	0.000	μB/atom

a = 3.850 Å, b = 7.111 Å, c = 17.864 Å
α = 90.00°, β = 90.00°, γ = 90.00°
Space group Immm (No. 71)
Unique sites:
Cs  0.000  0.000  0.000
Cd  0.000  0.500  0.146
Cl  0.000  0.248  0.343
Cl  0.000  0.500  0.000

***

Which of them is the most stable? Correct choice: i.

***

i:
Compound: CsCdCl2F
Source: Alexandria
Functional: PBE-GGA
Structure: optimized geometry

Output
V	132	Å³/f.u.
magnetic moment	0.000	μB/atom

a = 5.394 Å, b = 5.394 Å, c = 4.524 Å
α = 90.00°, β = 90.00°, γ = 90.00°
Space group P4/mmm (No. 123)
Unique sites:
Cs  0.000  0.000  0.000
Cd  0.500  0.500  0.500
Cl  0.000  0.500  0.500
F  0.500  0.500  0.000

***

ii:
Compound: CsCdCl2F
Source: Alexandria
Functional: PBE-GGA
Structure: optimized geometry

Output
V	147	Å³/f.u.
magnetic moment	0.000	μB/atom

a = 6.027 Å, b = 6.027 Å, c = 4.036 Å
α = 90.00°, β = 90.00°, γ = 90.00°
Space group P4/mmm (No. 123)
Unique sites:
Cs  0.000  0.000  0.000
Cd  0.500  0.500  0.000
Cl  0.000  0.500  0.500
F  0.500  0.500  0.500

***

Which of them is the most stable? Correct choice: i.